The following is a PBE-GGA calculation of LaCo2SbAs after structural relaxation, from OQMD.

```
10
Lattice="4.345 0.000 0.000 0.000 4.345 0.000 0.000 0.000 9.771" Properties=species:S:1:pos:R:3 pbc="T T T"
Sb 2.172 0.000 6.219
Sb 0.000 2.172 3.551
As 0.000 0.000 0.000
As 2.172 2.172 0.000
Co 2.172 2.172 4.885
Co 0.000 2.172 0.983
Co 2.172 0.000 8.787
Co 0.000 0.000 4.885
La 2.172 0.000 2.305
La 0.000 2.172 7.466
```

Calculated values
total energy = -62.53 eV for the cell shown
volume = 92.2 Å³/f.u.
ρ = 8.16 Mg/m³
SG = P4/nmm, No. 129

=====

The following is a PBE-GGA calculation of PrGePt2 after structural relaxation, from OQMD.

```
8
Lattice="5.684 0.000 0.000 0.000 4.024 0.000 -0.471 0.000 7.287" Properties=species:S:1:pos:R:3 pbc="T T T"
Pr 4.593 1.006 2.152
Pr 0.619 3.018 5.136
Pt 1.120 1.006 0.095
Pt 3.446 3.018 4.274
Pt 4.093 3.018 7.192
Pt 1.767 1.006 3.013
Ge 3.120 1.006 5.961
Ge 2.093 3.018 1.326
```

Calculated values
total energy = -49.01 eV for the cell shown
volume = 83.3 Å³/f.u.
ρ = 12.03 Mg/m³
SG = P2_1/m, No. 11

=====

The following is a PBE-GGA calculation of PaGaO3 after structural relaxation, from OQMD.

```
20
Lattice="6.024 0.000 0.000 0.000 6.070 0.000 0.000 0.000 8.592" Properties=species:S:1:pos:R:3 pbc="T T T"
O 1.811 4.256 8.272
O 2.518 6.064 2.148
O 4.823 4.849 3.976
O 1.201 1.221 4.616
O 0.494 3.029 2.148
O 1.811 4.256 4.616
O 3.506 0.006 6.444
O 4.213 1.814 0.320
O 4.823 4.849 0.320
O 1.201 1.221 8.272
O 4.213 1.814 3.976
O 5.530 3.041 6.444
Pa 0.000 3.035 0.000
Pa 0.000 3.035 4.296
Pa 3.012 0.000 0.000
Pa 3.012 0.000 4.296
Ga 0.014 0.080 2.148
Ga 2.998 3.115 2.148
Ga 6.010 5.990 6.444
Ga 3.025 2.955 6.444
```

Calculated values
total energy = -153.09 eV for the cell shown
volume = 78.5 Å³/f.u.
ρ = 7.37 Mg/m³
SG = Pnma, No. 62

=====

The following is a PBE-GGA calculation of ZnGaNO after structural relaxation, from OQMD.

```
16
Lattice="-4.583 -1.173 -2.181 0.944 -5.403 0.924 -2.866 0.485 5.762" Properties=species:S:1:pos:R:3 pbc="T T T"
N -4.820 -3.488 4.272
N -2.226 -4.633 5.659
N -3.101 -1.157 -0.594
N -0.507 -2.302 0.793
Zn -5.044 -4.115 0.480
Zn -6.286 -1.283 1.566
Zn -2.430 -5.374 1.886
Zn -3.672 -2.543 2.972
O -3.263 -3.616 1.336
O -4.495 -0.786 2.403
O -1.868 -2.123 3.823
O -0.635 -4.954 2.756
Ga -2.189 -2.743 -0.019
Ga -6.515 -3.912 3.478
Ga -3.919 -5.073 4.867
Ga -4.786 -1.582 -1.409
```

Calculated values
volume = 46.8 Å³/f.u.
ρ = 5.87 Mg/m³
excess energy over the best structure of this formula in the dataset = 0 meV/atom
SG = Pca2_1, No. 29

=====

The following is a PBE-GGA calculation of HoLuPd after structural relaxation, from OQMD.

```
3
Lattice="0.000 3.397 3.397 3.397 0.000 3.397 3.397 3.397 0.000" Properties=species:S:1:pos:R:3 pbc="T T T"
Pd 0.000 0.000 0.000
Lu 5.096 5.096 5.096
Ho 1.699 1.699 1.699
```

Calculated values
volume = 78.4 Å³/f.u.
E_form = -0.52 eV per atom
ρ = 9.45 Mg/m³
excess energy over the best structure of this formula in the dataset = 147 meV/atom
SG = F-43m, No. 216

=====

The following is a PBE-GGA calculation of Zr2PaTc3 after structural relaxation, from OQMD.

```
6
Lattice="3.361 0.000 0.000 0.000 3.361 0.000 0.000 0.000 9.923" Properties=species:S:1:pos:R:3 pbc="T T T"
Zr 1.680 1.680 8.336
Zr 1.680 1.680 1.587
Tc 0.000 0.000 6.552
Tc 0.000 0.000 0.000
Tc 0.000 0.000 3.371
Pa 1.680 1.680 4.961
```

Calculated values
volume = 112.1 Å³/f.u.
E_form = -0.35 eV per atom
ρ = 10.48 Mg/m³
SG = P4/mmm, No. 123

=====

The following is a PBE-GGA calculation of DyScAsO after structural relaxation, from OQMD.

```
8
Lattice="4.163 0.000 0.000 0.000 4.163 0.000 0.000 0.000 8.684" Properties=species:S:1:pos:R:3 pbc="T T T"
As 2.081 0.000 6.007
As 0.000 2.081 2.677
O 0.000 0.000 0.000
O 2.081 2.081 0.000
Sc 2.081 2.081 4.342
Sc 0.000 0.000 4.342
Dy 2.081 0.000 0.975
Dy 0.000 2.081 7.709
```

Calculated values
volume = 75.2 Å³/f.u.
ρ = 6.59 Mg/m³
excess energy over the best structure of this formula in the dataset = 57 meV/atom
SG = P4/nmm, No. 129

=====

The following is a PBE-GGA calculation of CuGe5Pt3 after structural relaxation, from OQMD.

```
9
Lattice="5.267 0.000 0.000 -2.633 4.561 0.000 0.000 0.000 7.279" Properties=species:S:1:pos:R:3 pbc="T T T"
Ge 0.000 0.000 3.640
Ge 2.633 1.520 5.935
Ge 0.000 3.041 5.935
Ge 2.633 1.520 1.344
Ge 0.000 3.041 1.344
Pt 2.633 0.000 3.640
Pt 1.317 2.280 3.640
Pt -1.317 2.280 3.640
Cu 0.000 0.000 0.000
```

Calculated values
total energy = -43.52 eV for the cell shown
volume = 174.8 Å³/f.u.
ρ = 9.61 Mg/m³
SG = P6/mmm, No. 191

=====

The following is a PBE-GGA calculation of NdI4 after structural relaxation, from OQMD.

```
10
Lattice="7.887 0.000 0.000 3.791 7.391 0.000 2.318 1.809 7.799" Properties=species:S:1:pos:R:3 pbc="T T T"
I 5.380 5.495 6.980
I 8.248 5.487 5.514
I 2.672 2.227 5.849
I 11.323 6.972 1.950
I 7.366 7.776 1.936
I 6.629 1.424 5.864
I 5.747 3.712 2.286
I 8.615 3.704 0.820
Nd 8.075 7.782 7.775
Nd 5.920 1.417 0.024
```

Calculated values
total energy = -33.16 eV for the cell shown
volume = 227.3 Å³/f.u.
ρ = 4.76 Mg/m³
SG = P-1, No. 2

=====

The following is a PBE-GGA calculation of LuBeAlNi after structural relaxation, from OQMD.

```
4
Lattice="2.762 -3.379 0.510 2.537 -0.243 3.579 -0.802 -3.051 3.058" Properties=species:S:1:pos:R:3 pbc="T T T"
Be 3.373 -5.004 5.360
Ni 2.248 -3.336 3.573
Al 0.000 0.000 0.000
Lu 1.124 -1.668 1.787
```

Calculated values
volume = 60.0 Å³/f.u.
ρ = 7.47 Mg/m³
excess energy over the best structure of this formula in the dataset = 238 meV/atom
SG = F-43m, No. 216

=====

The following is a PBE-GGA calculation of KCd5 after structural relaxation, from OQMD.

```
24
Lattice="-1.826 5.570 -2.088 -6.974 -1.087 3.196 4.280 5.620 11.249" Properties=species:S:1:pos:R:3 pbc="T T T"
Cd -6.991 2.570 3.695
Cd 2.561 3.858 8.053
Cd -3.425 7.053 7.884
Cd -4.790 4.398 6.649
Cd -3.000 5.220 11.742
Cd 3.876 5.526 11.353
Cd -1.999 1.861 2.093
Cd -0.047 2.938 7.879
Cd -3.879 7.902 10.736
Cd 0.148 3.235 3.693
Cd -3.975 -0.151 3.074
Cd -0.731 5.917 2.687
Cd 1.597 6.385 6.364
Cd -2.509 4.257 8.932
Cd -2.916 4.656 1.045
Cd 1.964 7.927 10.158
Cd -0.330 6.583 8.578
Cd -4.482 1.747 8.579
Cd -5.696 0.095 5.232
Cd -4.202 3.503 3.747
K -1.565 5.110 5.728
K 0.677 4.354 11.025
K -0.899 7.690 12.029
K -2.446 1.391 5.850
```

Calculated values
volume = 160.1 Å³/f.u.
ρ = 6.23 Mg/m³
excess energy over the best structure of this formula in the dataset = 100 meV/atom
SG = Pmc2_1, No. 26

=====

The following is a PBE-GGA calculation of K2NiAuBr6 after structural relaxation, from OQMD.

```
10
Lattice="-3.180 4.211 5.175 -2.825 6.584 -1.815 -7.324 0.997 -0.033" Properties=species:S:1:pos:R:3 pbc="T T T"
Br -5.002 5.092 3.339
Br -6.979 3.559 0.854
Br -8.496 5.568 3.323
Br -6.350 8.234 2.473
Br -8.327 6.700 -0.012
Br -4.832 6.225 0.003
Ni -6.664 5.896 1.663
K -3.332 2.948 0.832
K -9.996 8.844 2.495
Au 0.000 0.000 0.000
```

Calculated values
total energy = -29.08 eV for the cell shown
volume = 285.5 Å³/f.u.
ρ = 4.73 Mg/m³
SG = Fm-3m, No. 225

=====

Q: Among the records above, which one has the lowest volume?
A: ZnGaNO

=====

Q: What is the ρ in the fourth record?
A: 5.87 Mg/m³

=====

Q: Look up the ρ of the third one.
A: 7.37 Mg/m³

=====

Q: Which value of ρ does entry 3 give?
A: 7.37 Mg/m³